VASP calculation (PBE-GGA) on an optimized crystal structure of MgTl2P4O16.

SG: No. 2
Raw formation energy: -1.46 eV per atom
Raw total energy: -6.13 eV per atom

a = 7.0341 Å, b = 7.1862 Å, c = 7.2045 Å
α = 78.84°, β = 81.40°, γ = 66.31°
Last column: nearest neighbours and their distance in Å.
Fractional positions:
Mg1 0.0000 0.0000 0.0000  4 O 1.96-2.17
Tl1 0.4017 0.1972 0.6552  5 O 2.19-2.37
Tl2 0.5983 0.8028 0.3448  5 O 2.19-2.37
P1 0.1940 0.2606 0.2145  4 O 1.51-1.61
P2 0.2334 0.7147 0.6639  4 O 1.52-1.63
P3 0.7666 0.2853 0.3361  4 O 1.52-1.63
P4 0.8060 0.7394 0.7855  4 O 1.51-1.61
O1 0.0046 0.7224 0.6356  2 P 1.61-1.63
O2 0.0919 0.2290 0.7878  1 Tl 2.19, 1 Mg 2.25, 2 O 2.30-2.33
O3 0.1728 0.4750 0.1213  1 P 1.51
O4 0.2103 0.8433 0.8169  1 P 1.52
O5 0.2225 0.1036 0.0807  1 P 1.56
O6 0.2897 0.8075 0.4631  1 P 1.54
O7 0.3758 0.4922 0.7253  1 P 1.53
O8 0.3827 0.1551 0.3417  1 P 1.57
O9 0.6173 0.8449 0.6583  1 P 1.57
O10 0.6242 0.5078 0.2747  1 P 1.53
O11 0.7103 0.1925 0.5369  1 P 1.54
O12 0.7775 0.8964 0.9193  1 P 1.56
O13 0.7897 0.1567 0.1831  1 P 1.52
O14 0.8272 0.5250 0.8787  1 P 1.51
O15 0.9081 0.7710 0.2122  1 Tl 2.19, 1 Mg 2.25, 2 O 2.30-2.33
O16 0.9954 0.2776 0.3644  2 P 1.61-1.63

***

VASP calculation (PBE-GGA) on an optimized crystal structure of MgTlPO4.

SG: No. 11
Raw formation energy: -2.15 eV per atom
Raw total energy: -6.32 eV per atom

a = 5.1616 Å, b = 5.4789 Å, c = 7.6319 Å
α = 90.00°, β = 93.57°, γ = 90.00°
Last column: nearest neighbours and their distance in Å.
Fractional positions:
Mg1 0.1979 0.2500 0.4761  6 O 2.07-2.29
Mg2 0.8021 0.7500 0.5239  6 O 2.07-2.29
Tl1 0.2263 0.7500 0.1318  1 O 2.55
Tl2 0.7737 0.2500 0.8682  1 O 2.55
P1 0.3136 0.7500 0.6412  4 O 1.55-1.57
P2 0.6864 0.2500 0.3588  4 O 1.55-1.57
O1 0.1298 0.5256 0.6603  1 P 1.57
O2 0.1298 0.9744 0.6603  1 P 1.57
O3 0.4086 0.7500 0.4502  1 P 1.57
O4 0.4340 0.2500 0.2387  1 P 1.55
O5 0.5660 0.7500 0.7613  1 P 1.55
O6 0.5914 0.2500 0.5498  1 P 1.57
O7 0.8702 0.0256 0.3397  1 P 1.57
O8 0.8702 0.4744 0.3397  1 P 1.57

***

VASP calculation (PBE-GGA) on an optimized crystal structure of MgTl2P2O6.

SG: No. 166
Raw formation energy: -1.92 eV per atom
Raw total energy: -6.18 eV per atom

a = 6.4422 Å, b = 6.4422 Å, c = 6.4422 Å
α = 52.58°, β = 52.58°, γ = 52.58°
Last column: nearest neighbours and their distance in Å.
Fractional positions:
Mg1 0.0000 0.0000 0.0000  6 O 2.17
Tl1 0.2237 0.2237 0.2237  9 O 2.92-3.09
Tl2 0.7763 0.7763 0.7763  9 O 2.92-3.09
P1 0.4322 0.4322 0.4322  3 O 1.55
P2 0.5678 0.5678 0.5678  3 O 1.55
O1 0.2555 0.2555 0.7070  1 P 1.55
O2 0.2555 0.7070 0.2555  1 P 1.55
O3 0.2930 0.7445 0.7445  1 P 1.55
O4 0.7070 0.2555 0.2555  1 P 1.55
O5 0.7445 0.2930 0.7445  1 P 1.55
O6 0.7445 0.7445 0.2930  1 P 1.55

***

VASP calculation (PBE-GGA) on an optimized crystal structure of MgTlP2O.

SG: No. 123
Energy above the lowest structure with this stoichiometry: 0.000 eV per atom
Raw formation energy: 0.20 eV per atom
Raw total energy: -3.75 eV per atom

a = 5.1937 Å, b = 5.1937 Å, c = 3.6876 Å
α = 90.00°, β = 90.00°, γ = 90.00°
Last column: nearest neighbours and their distance in Å.
Fractional positions:
Mg1 0.0000 0.0000 0.0000  2 O 1.84
Tl1 0.5000 0.5000 0.5000  8 P 3.18
P1 0.0000 0.5000 0.0000  2 Mg 2.60
P2 0.5000 0.0000 0.0000  2 Mg 2.60
O1 0.0000 0.0000 0.5000  2 Mg 1.84

***

VASP calculation (PBE-GGA) on an optimized crystal structure of MgTlP2O8.

SG: No. 119
Raw formation energy: -1.80 eV per atom
Raw total energy: -6.33 eV per atom

a = 5.7031 Å, b = 5.7031 Å, c = 5.7031 Å
α = 105.89°, β = 105.89°, γ = 116.90°
Last column: nearest neighbours and their distance in Å.
Fractional positions:
Mg1 0.0000 0.0000 0.0000  8 O 2.27-2.30
Tl1 0.2500 0.7500 0.5000  8 O 2.31-2.38
P1 0.5000 0.5000 0.0000  4 O 1.55
P2 0.7500 0.2500 0.5000  4 O 1.56
O1 0.3314 0.1597 0.8284  1 P 1.55
O2 0.3314 0.5030 0.1716  1 P 1.55
O3 0.4109 0.0909 0.3200  1 P 1.56
O4 0.4970 0.6686 0.8284  1 P 1.55
O5 0.7709 0.0909 0.6800  1 P 1.56
O6 0.8403 0.6686 0.1716  1 P 1.55
O7 0.9091 0.2291 0.3200  1 P 1.56
O8 0.9091 0.5891 0.6800  1 P 1.56

***

VASP calculation (PBE-GGA) on an optimized crystal structure of MgTlPO2.

SG: No. 123
Energy above the lowest structure with this stoichiometry: 0.000 eV per atom
Raw formation energy: -0.33 eV per atom
Raw total energy: -4.19 eV per atom

a = 3.9465 Å, b = 3.9465 Å, c = 5.5214 Å
α = 90.00°, β = 90.00°, γ = 90.00°
Last column: nearest neighbours and their distance in Å.
Fractional positions:
Mg1 0.0000 0.0000 0.0000  4 O 1.97
Tl1 0.5000 0.5000 0.5000  4 P 2.79
P1 0.0000 0.0000 0.5000  2 Mg 2.76, 4 Tl 2.79
O1 0.0000 0.5000 0.0000  2 Mg 1.97
O2 0.5000 0.0000 0.0000  2 Mg 1.97

***

VASP calculation (PBE-GGA) on an optimized crystal structure of MgTlP2O.

SG: No. 123
Energy above the lowest structure with this stoichiometry: 0.538 eV per atom
Raw formation energy: 0.74 eV per atom
Raw total energy: -3.21 eV per atom

a = 5.2381 Å, b = 5.2381 Å, c = 4.0996 Å
α = 90.00°, β = 90.00°, γ = 90.00°
Last column: nearest neighbours and their distance in Å.
Fractional positions:
Mg1 0.0000 0.0000 0.0000  8 P 3.33, 4 O 3.70
Tl1 0.5000 0.5000 0.5000  2 O 2.05
P1 0.0000 0.5000 0.5000  2 Tl 2.62
P2 0.5000 0.0000 0.5000  2 Tl 2.62
O1 0.5000 0.5000 0.0000  2 Tl 2.05

***

VASP calculation (PBE-GGA) on an optimized crystal structure of MgTlPO2.

SG: No. 123
Energy above the lowest structure with this stoichiometry: 0.535 eV per atom
Raw formation energy: 0.20 eV per atom
Raw total energy: -3.65 eV per atom

a = 4.1483 Å, b = 4.1483 Å, c = 5.4599 Å
α = 90.00°, β = 90.00°, γ = 90.00°
Last column: nearest neighbours and their distance in Å.
Fractional positions:
Mg1 0.0000 0.0000 0.0000  4 P 2.93
Tl1 0.5000 0.5000 0.5000  4 O 2.07
P1 0.5000 0.5000 0.0000  2 Tl 2.73, 4 Mg 2.93
O1 0.0000 0.5000 0.5000  2 Tl 2.07
O2 0.5000 0.0000 0.5000  2 Tl 2.07

***

VASP calculation (PBE-GGA) on an optimized crystal structure of TmMgP2O8.

SG: No. 164
Raw formation energy: -2.51 eV per atom
Raw total energy: -7.22 eV per atom

a = 5.1448 Å, b = 5.1448 Å, c = 6.5002 Å
α = 90.00°, β = 90.00°, γ = 120.00°
Last column: nearest neighbours and their distance in Å.
Fractional positions:
Tm1 0.0000 0.0000 0.0000  6 O 2.37
Mg1 0.0000 0.0000 0.5000  6 O 2.06
P1 0.3333 0.6667 0.2092  4 O 1.54-1.55
P2 0.6667 0.3333 0.7908  4 O 1.54-1.55
O1 0.1685 0.3370 0.2829  1 P 1.55
O2 0.1685 0.8315 0.2829  1 P 1.55
O3 0.3333 0.6667 0.9721  1 P 1.54
O4 0.3370 0.1685 0.7171  1 P 1.55
O5 0.6630 0.8315 0.2829  1 P 1.55
O6 0.6667 0.3333 0.0279  1 P 1.54
O7 0.8315 0.1685 0.7171  1 P 1.55
O8 0.8315 0.6630 0.7171  1 P 1.55